Record 1
The following is a PBE-GGA calculation of a geometry-optimized AlReAg structure, from OQMD via LeMat-Bulk.

Cell and atoms, written as POSCAR:
```
AlReAg
1.0
-3.624 -2.123 -0.157
-3.515 1.932 -1.259
-1.712 -0.964 -3.716
Ag Al Re
1 1 1
Cartesian
-2.213 -0.289 -1.283
0.000 0.000 0.000
-6.639 -0.867 -3.849
```

Computed properties:
Mass density: 10.2 g cm⁻³
Space-group type: No. 216
Final energy: -5.509 eV per atom

=====

Record 2
The following is a PBE-GGA calculation of a geometry-optimized AlRe2Ag structure, from OQMD via LeMat-Bulk.

Cell and atoms, written as POSCAR:
```
AlRe2Ag
1.0
-2.219 1.225 3.608
0.003 4.225 1.262
-3.668 2.418 -0.382
Ag Al Re
1 1 2
Cartesian
-1.471 1.967 1.122
-2.942 3.934 2.244
0.000 0.000 0.000
-4.413 5.902 3.366
```

Computed properties:
Mass density: 13.9 g cm⁻³
Space-group type: No. 216
Final energy: -7.566 eV per atom